The following is a PBE+U calculation of a relaxed MgNi2RhO6 crystal, from the Alexandria database.

Results
total moment: 4.93 μB per cell
VASP energy: -50.90 eV per formula unit

a = 5.735 Å, b = 5.735 Å, c = 3.847 Å
α = 90.00°, β = 90.00°, γ = 90.00°
Fractional positions:
Mg: 0.000 0.000 0.000
Ni: 0.000 0.500 0.080
Ni: 0.500 0.000 0.080
Rh: 0.500 0.500 0.041
O: 0.000 0.000 0.502
O: 0.253 0.253 0.046
O: 0.253 0.747 0.046
O: 0.500 0.500 0.542
O: 0.747 0.253 0.046
O: 0.747 0.747 0.046